NdErSnAu: relaxed, GGA-PBE. Values from VASP.

Calculated values
Formation energy (eV/atom): -0.697
ρ (g/cm3): 10.0
Space group: F-43m (216)
Calculated volume (Å³/atom): 26.1

```
&SYSTEM
  ibrav = 0, nat = 4, ntyp = 4
/
ATOMIC_SPECIES
Nd 144.24 Nd.upf
Er 167.26 Er.upf
Sn 118.71 Sn.upf
Au 196.97 Au.upf
CELL_PARAMETERS angstrom
0.000 3.738 3.738
3.738 0.000 3.738
3.738 3.738 0.000
ATOMIC_POSITIONS angstrom
Nd 0.000 0.000 0.000
Er 3.738 3.738 3.738
Sn 5.607 5.607 5.607
Au 1.869 1.869 1.869
```